5
Lattice="-3.236 -2.197 0.793 1.559 -3.041 -2.061 2.666 -2.088 5.096" Properties=species:S:1:pos:R:3 comment="MgTePN2 (meta-GGA SCAN, PBEsol geometry)" mass_density_g_cm3=3.6 total_magnetization_mub_per_fu=4.55 e_form_raw_ev_per_fu=6.54 pbc="T T T"
P 0.495 -3.663 1.914
Mg 0.000 0.000 0.000
Te 1.333 -1.044 2.548
N 0.779 -1.520 -1.031
N -1.618 -1.098 0.396

***

5
Lattice="-2.161 2.435 -2.772 -3.519 -2.324 0.702 -1.106 2.636 3.179" Properties=species:S:1:pos:R:3 comment="MgPbN3 (meta-GGA SCAN, PBEsol geometry)" mass_density_g_cm3=5.8 total_magnetization_mub_per_fu=3.03 e_form_raw_ev_per_fu=8.95 pbc="T T T"
Pb 0.000 0.000 0.000
Mg -3.393 1.374 0.555
N -1.760 -1.162 0.351
N -0.553 1.318 1.589
N -1.080 1.217 -1.386